No. 1
La3Sb5Te12: optimized geometry, PBE.

a b c (Å): 18.409 18.409 18.409
angles (deg): 90.00 90.00 90.00
Space group Ia-3d (No. 230)
Asymmetric unit:
1 La 0.000 0.250 0.125 [24 per cell]
2 Sb 0.000 0.000 0.000 [16 per cell]
3 Sb 0.000 0.250 0.375 [24 per cell]
4 Te 0.016 0.066 0.652 [96 per cell]

Results
The calculation puts the uncorrected formation energy at -540 meV/atom. The value obtained for the size of the total moment is 0.00 Bohr magnetons per cell.

No. 2
LaSbTe2: optimized geometry, PBE.

a b c (Å): 4.4270 4.4270 29.4235
angles (deg): 90.00 90.00 120.00
Space group R-3m (No. 166, hexagonal axes)
Asymmetric unit:
1 La 0.0000 0.0000 0.0000 [3 per cell]
2 Sb 0.0000 0.0000 0.5000 [3 per cell]
3 Te 0.0000 0.0000 0.3986 [6 per cell]

Results
The calculation puts the uncorrected formation energy at -622 meV/atom. The value obtained for the size of the total moment is 0.00 Bohr magnetons per cell.

No. 3
LaSbTe2: optimized geometry, PBE.

a b c (Å): 4.552 5.675 9.530
angles (deg): 90.00 90.00 90.00
Space group Immm (No. 71)
Asymmetric unit:
1 La 0.000 0.000 0.000 [2 per cell]
2 Sb 0.000 0.000 0.500 [2 per cell]
3 Te 0.000 0.500 0.208 [4 per cell]

Results
The calculation puts the uncorrected formation energy at -822 meV/atom. The value obtained for the size of the total moment is 0.00 Bohr magnetons per cell.

Number 1: energy -671.2 eV/cell. Number 2: energy -53.5 eV/cell. Number 3: energy -37.2 eV/cell.